[1]
DFT (PBE) results for a geometry-optimized ErScBe structure.

```
ErScBe
1.0
0.000 3.250 3.250
3.250 0.000 3.250
3.250 3.250 0.000
Er Sc Be
1 1 1
Direct
0.000 0.000 0.000
0.750 0.750 0.750
0.500 0.500 0.500
```

Calculated values
Relative energy among the computed polymorphs ... 0.0 kJ per mole of atoms
Magnetization ... 0.00 Bohr magnetons per cell
Space group ... F-43m

***

[2]
DFT (PBE) results for a geometry-optimized NaErZn structure.

```
NaErZn
1.0
0.000 3.438 3.438
3.438 0.000 3.438
3.438 3.438 0.000
Na Er Zn
1 1 1
Direct
0.000 0.000 0.000
0.500 0.500 0.500
0.750 0.750 0.750
```

Calculated values
Relative energy among the computed polymorphs ... 0.0 kJ per mole of atoms
Magnetization ... 0.10 Bohr magnetons per cell
Space group ... F-43m

***

[3]
DFT (PBE) results for a geometry-optimized Rb2SnWN4 structure.

```
Rb2SnWN4
1.0
-3.003 3.003 4.309
3.003 -3.003 4.309
3.003 3.003 -4.309
Rb Sn W N
2 1 1 4
Direct
0.000 0.000 0.000
0.750 0.250 0.500
0.500 0.500 0.000
0.250 0.750 0.500
0.263 0.634 0.156
0.366 0.523 0.629
0.477 0.107 0.844
0.893 0.737 0.371
```

Calculated values
Calculated total energy ... -54.29 eV for the cell shown
Magnetization ... 0.00 Bohr magnetons per cell
Space group ... I-4

***

[4]
DFT (PBE) results for a geometry-optimized Si2NiPd structure.

```
Si2NiPd
1.0
3.863 0.000 0.000
0.000 4.238 0.000
0.000 0.000 6.575
Si Ni Pd
4 2 2
Direct
0.000 0.006 0.000
0.000 0.994 0.500
0.500 0.403 0.973
0.500 0.597 0.473
0.500 0.090 0.294
0.500 0.910 0.794
0.000 0.467 0.716
0.000 0.533 0.216
```

Calculated values
Relative energy among the computed polymorphs ... 8.6 kJ per mole of atoms
Magnetization ... 0.00 Bohr magnetons per cell
Space group ... Pmc2_1

***

[5]
DFT (PBE) results for a geometry-optimized Er3Lu5Te structure.

```
Er3Lu5Te
1.0
9.057 0.000 0.000
-4.528 7.843 0.000
0.000 0.000 3.706
Er Lu Te
3 5 1
Direct
0.000 0.278 0.000
0.278 0.000 0.000
0.722 0.722 0.000
0.000 0.614 0.500
0.333 0.667 0.000
0.386 0.386 0.500
0.614 0.000 0.500
0.667 0.333 0.000
0.000 0.000 0.500
```

Calculated values
Relative energy among the computed polymorphs ... 0.0 kJ per mole of atoms
Magnetization ... 0.01 Bohr magnetons per cell
Space group ... P-62m

***

[6]
DFT (PBE) results for a geometry-optimized PaTcGe structure.

```
PaTcGe
1.0
0.000 3.252 3.252
3.252 0.000 3.252
3.252 3.252 0.000
Pa Tc Ge
1 1 1
Direct
0.000 0.000 0.000
0.250 0.250 0.250
0.750 0.750 0.750
```

Calculated values
Calculated total energy ... -22.75 eV for the cell shown
Magnetization ... 0.01 Bohr magnetons per cell
Space group ... F-43m

***

[7]
DFT (PBE) results for a geometry-optimized LuW structure.

```
LuW
1.0
0.000 2.850 2.850
2.850 0.000 2.850
2.850 2.850 0.000
Lu W
1 1
Direct
0.000 0.000 0.000
0.500 0.500 0.500
```

Calculated values
Relative energy among the computed polymorphs ... 97.7 kJ per mole of atoms
Formation energy from the elements ... 3.381 eV/f.u.
Magnetization ... 0.01 Bohr magnetons per cell
Space group ... Fm-3m

***

[8]
DFT (PBE) results for a geometry-optimized NdYNi2Ge4 structure.

```
NdYNi2Ge4
1.0
4.216 0.000 0.000
0.000 2.094 8.354
0.000 -2.094 8.354
Nd Y Ni Ge
1 1 2 4
Direct
0.000 0.000 0.000
0.500 0.784 0.784
0.000 0.212 0.212
0.500 0.574 0.574
0.000 0.350 0.350
0.000 0.643 0.643
0.500 0.145 0.145
0.500 0.434 0.434
```

Calculated values
Calculated total energy ... -46.66 eV for the cell shown
Magnetization ... 0.00 Bohr magnetons per cell
Space group ... Amm2